{
  "formula": "Ac4InSi2",
  "functional": "PBE",
  "state": "relaxed",
  "lattice": [[-1.364, -0.652, 4.966], [-4.955, -0.939, 1.228], [-0.328, -11.086, 1.167]],
  "species": ["Ac", "Ac", "Ac", "Ac", "In", "Si", "Si"],
  "frac_coords": [[0.384, 0.384, 0.847], [0.202, 0.202, 0.393], [0.798, 0.798, 0.607], [0.616, 0.616, 0.153], [0.000, 0.000, 0.000], [0.099, 0.099, 0.704], [0.901, 0.901, 0.296]],
  "spacegroup": "No. 166",
  "energy_ev_per_atom": -4.604,
  "density_g_cm3": 7.1,
  "e_form_raw_ev_per_atom": -0.32,
  "magnetic_moment_mub_per_atom": 0.000
}